A plane-wave DFT calculation with GGA-PBE was carried out for an optimized crystal structure of Pm4SmMg2.

The formation energy from the elements comes out at 272 meV/atom. For the total magnetic moment, the calculation gives 0.00 μB/f.u. As for the symmetry: No. 166. The crystal system is trigonal.

POSCAR file:
```
Pm4SmMg2
1.0
-5.217 2.120 -0.278
-3.941 -2.605 -3.077
-5.415 -5.036 6.034
Mg Pm Sm
2 4 1
direct
0.378 0.378 0.867
0.622 0.622 0.133
0.744 0.744 0.769
0.130 0.130 0.611
0.256 0.256 0.231
0.870 0.870 0.389
0.500 0.500 0.500
```